[1]
Entry from Alexandria: a relaxed Ba4HgAu3 crystal (GGA-PBE).

Output
Formation energy from the elements: -656 meV/atom
Density of states at the Fermi level: 6.0 states/eV per cell

Cell: 4.529 5.114 12.410 Å, 90.00 90.00 90.00°
Element x y z (fractional)
Ba1 0.000 0.000 0.000
Ba2 0.000 0.500 0.262
Ba3 0.500 0.000 0.486
Ba4 0.500 0.500 0.766
Hg1 0.000 0.000 0.705
Au1 0.000 0.500 0.548
Au2 0.500 0.000 0.209
Au3 0.500 0.500 0.049



[2]
Entry from Alexandria: a relaxed BaHgAu3 crystal (GGA-PBE).

Output
Formation energy from the elements: 506 meV/atom
ΔE to the lowest computed polymorph: 956 meV per atom
Density of states at the Fermi level: 8.4 states/eV per cell

Cell: 6.205 6.205 6.205 Å, 90.00 90.00 90.00°
Element x y z (fractional)
Ba1 0.000 0.000 0.000
Hg1 0.500 0.500 0.500
Au1 0.000 0.000 0.500
Au2 0.000 0.500 0.000
Au3 0.500 0.000 0.000